# 1
! Ti2TeS2 (meta-GGA SCAN, PBEsol geometry); values from VASP
! - Energy relative to the elements, uncorrected: -20.78 kcal/mol of atoms
! - Magnetic moment: 0.00 μB per cell
! - D(E_F): 0.37 states/eV/atom
&SYSTEM
  ibrav = 0, nat = 10, ntyp = 3
/
ATOMIC_SPECIES
Ti 47.87 Ti.upf
Te 127.60 Te.upf
S 32.06 S.upf
ATOMIC_POSITIONS angstrom
Ti 0.000 0.000 1.483
Ti 0.000 0.000 9.915
Ti 2.007 2.007 4.216
Ti 2.007 2.007 7.182
Te 0.000 0.000 5.699
Te 2.007 2.007 0.000
S 0.000 2.007 2.850
S 0.000 2.007 8.549
S 2.007 0.000 2.850
S 2.007 0.000 8.549
CELL_PARAMETERS angstrom
4.014 0.000 0.000
0.000 4.014 0.000
0.000 0.000 11.398


# 2
! TlTe2S (meta-GGA SCAN, PBEsol geometry); values from VASP
! - Energy relative to the elements, uncorrected: 7.21 kcal/mol of atoms
! - Magnetic moment: 0.00 μB per cell
! - D(E_F): 0.66 states/eV/atom
&SYSTEM
  ibrav = 0, nat = 12, ntyp = 3
/
ATOMIC_SPECIES
Tl 204.38 Tl.upf
Te 127.60 Te.upf
S 32.06 S.upf
ATOMIC_POSITIONS angstrom
Tl 0.000 0.000 0.000
Tl 0.000 1.989 20.566
Tl 1.723 0.995 10.283
Te 0.000 0.000 3.164
Te 0.000 0.000 27.686
Te 0.000 1.989 17.403
Te 0.000 1.989 23.730
Te 1.723 0.995 7.120
Te 1.723 0.995 13.447
S 0.000 0.000 15.425
S 0.000 1.989 5.142
S 1.723 0.995 25.708
CELL_PARAMETERS angstrom
3.445 0.000 0.000
-1.723 2.984 0.000
0.000 0.000 30.850


# 3
! Tm2TeS2 (meta-GGA SCAN, PBEsol geometry); values from VASP
! - Energy relative to the elements, uncorrected: -47.87 kcal/mol of atoms
! - Magnetic moment: 0.00 μB per cell
! - D(E_F): 0.00 states/eV/atom
&SYSTEM
  ibrav = 0, nat = 10, ntyp = 3
/
ATOMIC_SPECIES
Tm 168.93 Tm.upf
Te 127.60 Te.upf
S 32.06 S.upf
ATOMIC_POSITIONS angstrom
Tm 0.000 0.000 2.204
Tm 0.000 0.000 10.882
Tm 2.025 2.626 4.339
Tm 2.025 2.626 8.748
Te 0.000 2.626 6.543
Te 2.025 0.000 0.000
S 0.000 2.626 2.611
S 0.000 2.626 10.476
S 2.025 0.000 3.933
S 2.025 0.000 9.154
CELL_PARAMETERS angstrom
4.049 0.000 0.000
0.000 5.251 0.000
0.000 0.000 13.086


# 4
! TeW2S3 (meta-GGA SCAN, PBEsol geometry); values from VASP
! - Energy relative to the elements, uncorrected: -13.26 kcal/mol of atoms
! - Magnetic moment: 0.00 μB per cell
! - D(E_F): 0.05 states/eV/atom
&SYSTEM
  ibrav = 0, nat = 12, ntyp = 3
/
ATOMIC_SPECIES
Te 127.60 Te.upf
W 183.84 W.upf
S 32.06 S.upf
ATOMIC_POSITIONS angstrom
Te 0.000 0.000 0.000
Te 0.000 0.000 3.869
W 0.000 0.000 8.693
W 0.000 0.000 21.192
W 1.612 0.931 1.935
W 1.612 0.931 14.957
S 0.000 0.000 13.417
S 0.000 0.000 16.497
S 1.612 0.931 7.151
S 1.612 0.931 10.233
S 1.612 0.931 19.652
S 1.612 0.931 22.734
CELL_PARAMETERS angstrom
3.224 0.000 0.000
-1.612 2.792 0.000
0.000 0.000 25.990


# 5
! ZnTe2S (meta-GGA SCAN, PBEsol geometry); values from VASP
! - Energy relative to the elements, uncorrected: 3.98 kcal/mol of atoms
! - Magnetic moment: 0.00 μB per cell
! - D(E_F): 0.62 states/eV/atom
&SYSTEM
  ibrav = 0, nat = 12, ntyp = 3
/
ATOMIC_SPECIES
Zn 65.41 Zn.upf
Te 127.60 Te.upf
S 32.06 S.upf
ATOMIC_POSITIONS angstrom
Zn 0.000 0.000 0.000
Zn 0.000 2.355 15.690
Zn 2.039 1.177 7.845
Te 0.000 0.000 9.291
Te 0.000 0.000 14.244
Te 0.000 2.355 1.446
Te 0.000 2.355 6.399
Te 2.039 1.177 17.136
Te 2.039 1.177 22.089
S 0.000 0.000 11.767
S 0.000 2.355 3.922
S 2.039 1.177 19.612
CELL_PARAMETERS angstrom
4.079 0.000 0.000
-2.039 3.532 0.000
0.000 0.000 23.535


# 6
! Zn2TeS (meta-GGA SCAN, PBEsol geometry); values from VASP
! - Energy relative to the elements, uncorrected: -15.55 kcal/mol of atoms
! - Magnetic moment: 0.00 μB per cell
! - D(E_F): 0.00 states/eV/atom
&SYSTEM
  ibrav = 0, nat = 16, ntyp = 3
/
ATOMIC_SPECIES
Zn 65.41 Zn.upf
Te 127.60 Te.upf
S 32.06 S.upf
ATOMIC_POSITIONS angstrom
Zn 1.195 1.428 1.420
Zn 1.428 4.051 4.261
Zn 1.428 4.518 9.943
Zn 1.662 1.428 7.102
Zn 4.051 4.285 7.102
Zn 4.285 1.195 9.943
Zn 4.285 1.662 4.261
Zn 4.518 4.285 1.420
Te 0.000 0.000 5.682
Te 0.000 2.856 8.523
Te 2.856 0.000 2.841
Te 2.856 2.856 0.000
S 0.000 0.000 0.000
S 0.000 2.856 2.841
S 2.856 0.000 8.523
S 2.856 2.856 5.682
CELL_PARAMETERS angstrom
5.713 0.000 0.000
0.000 5.713 0.000
0.000 0.000 11.364


# 7
! ThS2 (meta-GGA SCAN, PBEsol geometry); values from VASP
! - Energy relative to the elements, uncorrected: -51.03 kcal/mol of atoms
! - Magnetic moment: 0.00 μB per cell
&SYSTEM
  ibrav = 0, nat = 12, ntyp = 2
/
ATOMIC_SPECIES
Th 232.04 Th.upf
S 32.06 S.upf
ATOMIC_POSITIONS angstrom
Th 1.792 1.056 1.034
Th 1.805 3.169 5.312
Th 5.390 1.056 3.245
Th 5.402 3.169 7.523
S 0.215 3.169 2.853
S 1.004 3.169 7.967
S 2.593 1.056 3.689
S 3.382 1.056 7.131
S 3.813 3.169 1.426
S 4.602 3.169 4.868
S 6.190 1.056 0.590
S 6.980 1.056 5.704
CELL_PARAMETERS angstrom
7.195 0.000 0.000
0.000 4.225 0.000
0.000 0.000 8.557


# 8
! Th2S3 (meta-GGA SCAN, PBEsol geometry); values from VASP
! - Energy relative to the elements, uncorrected: -48.89 kcal/mol of atoms
! - Magnetic moment: 0.00 μB per cell
! - D(E_F): 0.51 states/eV/atom
&SYSTEM
  ibrav = 0, nat = 20, ntyp = 2
/
ATOMIC_SPECIES
Th 232.04 Th.upf
S 32.06 S.upf
ATOMIC_POSITIONS angstrom
Th 0.156 0.974 1.970
Th 2.112 0.974 5.469
Th 3.281 2.921 0.133
Th 5.237 2.921 7.306
Th 5.549 0.974 3.366
Th 7.505 0.974 10.539
Th 8.674 2.921 5.203
Th 10.629 2.921 8.702
S 0.555 2.921 4.024
S 1.351 0.974 10.075
S 2.420 2.921 7.546
S 2.973 0.974 2.210
S 4.042 2.921 4.739
S 4.837 0.974 9.361
S 5.948 2.921 1.312
S 6.744 0.974 5.933
S 7.812 2.921 8.462
S 8.366 0.974 3.126
S 9.434 2.921 0.597
S 10.230 0.974 6.648
CELL_PARAMETERS angstrom
10.785 0.000 0.000
0.000 3.895 0.000
0.000 0.000 10.672